## ScC (GGA-PBE)

Data for an optimized crystal structure of ScC.

## Properties
Energy relative to the lowest polymorph listed for this composition (meV/atom): 0
VASP energy (eV/atom): -8.238
Energy relative to the elements (eV per formula unit): -0.92
Total moment (μB per formula unit): 0.00

```
data_ScC
_chemical_formula_sum 'Sc8 C8'
_space_group_name_H-M_alt 'P n m a'
_space_group_IT_number 62
_space_group_name_Hall '-P 2ac 2n'
_cell_length_a 6.011
_cell_length_b 4.713
_cell_length_c 7.083
_cell_angle_alpha 90.00
_cell_angle_beta 90.00
_cell_angle_gamma 90.00
loop_
_atom_site_label
_atom_site_type_symbol
_atom_site_fract_x
_atom_site_fract_y
_atom_site_fract_z
Sc1 Sc 0.066 0.250 0.145
Sc2 Sc 0.109 0.250 0.596
C1 C 0.248 0.086 0.878
```

## Sc2C (GGA-PBE)

Data for an optimized crystal structure of Sc2C.

## Properties
VASP energy (eV/atom): -7.384
Energy relative to the elements (eV per formula unit): -0.26
Total moment (μB per formula unit): 0.00

```
data_Sc2C
_chemical_formula_sum 'Sc2 C1'
_space_group_name_H-M_alt 'P -6 m 2'
_space_group_IT_number 187
_space_group_name_Hall 'P -6 2'
_cell_length_a 3.2723
_cell_length_b 3.2723
_cell_length_c 5.8058
_cell_angle_alpha 90.00
_cell_angle_beta 90.00
_cell_angle_gamma 120.00
loop_
_atom_site_label
_atom_site_type_symbol
_atom_site_fract_x
_atom_site_fract_y
_atom_site_fract_z
Sc1 Sc 0.0000 0.0000 0.2296
C1 C 0.3333 0.6667 0.0000
```

## Sc3C5 (GGA-PBE)

Data for an optimized crystal structure of Sc3C5.

## Properties
Energy relative to the lowest polymorph listed for this composition (meV/atom): 152
VASP energy (eV/atom): -7.994
Energy relative to the elements (eV per formula unit): 1.16
Total moment (μB per formula unit): 0.00

```
data_Sc3C5
_chemical_formula_sum 'Sc6 C10'
_space_group_name_H-M_alt 'P 63/m c m'
_space_group_IT_number 193
_space_group_name_Hall '-P 6c 2'
_cell_length_a 5.9893
_cell_length_b 5.9893
_cell_length_c 6.2840
_cell_angle_alpha 90.00
_cell_angle_beta 90.00
_cell_angle_gamma 120.00
loop_
_atom_site_label
_atom_site_type_symbol
_atom_site_fract_x
_atom_site_fract_y
_atom_site_fract_z
Sc1 Sc 0.0000 0.4533 0.2500
C1 C 0.0000 0.1376 0.7500
C2 C 0.3333 0.6667 0.0000
```

## ScC (GGA-PBE)

Data for an optimized crystal structure of ScC.

## Properties
Energy relative to the lowest polymorph listed for this composition (meV/atom): 709
VASP energy (eV/atom): -7.529
Energy relative to the elements (eV per formula unit): 0.50
Total moment (μB per formula unit): 0.00

```
data_ScC
_chemical_formula_sum 'Sc1 C1'
_space_group_name_H-M_alt 'P -6 m 2'
_space_group_IT_number 187
_space_group_name_Hall 'P -6 2'
_cell_length_a 3.3664
_cell_length_b 3.3664
_cell_length_c 2.7468
_cell_angle_alpha 90.00
_cell_angle_beta 90.00
_cell_angle_gamma 120.00
loop_
_atom_site_label
_atom_site_type_symbol
_atom_site_fract_x
_atom_site_fract_y
_atom_site_fract_z
Sc1 Sc 0.0000 0.0000 0.0000
C1 C 0.3333 0.6667 0.5000
```

## ScC (GGA-PBE)

Data for an optimized crystal structure of ScC.

## Properties
Energy relative to the lowest polymorph listed for this composition (meV/atom): 774
VASP energy (eV/atom): -7.464
Energy relative to the elements (eV per formula unit): 0.63
Total moment (μB per formula unit): 0.00

```
data_ScC
_chemical_formula_sum 'Sc4 C4'
_space_group_name_H-M_alt 'P 63/m m c'
_space_group_IT_number 194
_space_group_name_Hall '-P 6c 2c'
_cell_length_a 3.0884
_cell_length_b 3.0884
_cell_length_c 12.1051
_cell_angle_alpha 90.00
_cell_angle_beta 90.00
_cell_angle_gamma 120.00
loop_
_atom_site_label
_atom_site_type_symbol
_atom_site_fract_x
_atom_site_fract_y
_atom_site_fract_z
Sc1 Sc 0.3333 0.6667 0.1186
C1 C 0.0000 0.0000 0.2500
C2 C 0.3333 0.6667 0.7500
```

## ScC (GGA-PBE)

Data for an optimized crystal structure of ScC.

## Properties
Energy relative to the lowest polymorph listed for this composition (meV/atom): 438
VASP energy (eV/atom): -7.800
Energy relative to the elements (eV per formula unit): -0.05
Total moment (μB per formula unit): 0.05

```
data_ScC
_chemical_formula_sum 'Sc4 C4'
_space_group_name_H-M_alt 'P 42/m n m'
_space_group_IT_number 136
_space_group_name_Hall '-P 4n 2n'
_cell_length_a 6.097
_cell_length_b 6.097
_cell_length_c 3.487
_cell_angle_alpha 90.00
_cell_angle_beta 90.00
_cell_angle_gamma 90.00
loop_
_atom_site_label
_atom_site_type_symbol
_atom_site_fract_x
_atom_site_fract_y
_atom_site_fract_z
Sc1 Sc 0.246 0.246 0.000
C1 C 0.080 0.080 0.500
```